Compound: BaB2Pt10
Source: Alexandria
Functional: PBE-GGA
Structure: optimized geometry

Results
**Total magnetization**: 0.000 Bohr magnetons per cell
**E_form**: -2.5 kcal/mol of atoms

a b c (Å): 9.710 7.541 7.086
angles (deg): 83.12 50.45 46.43
Fractional coordinates of all 13 atoms:
Ba: 0.000 0.000 0.000
B: 0.000 0.500 0.000
B: 0.500 0.000 0.500
Pt: 0.000 0.000 0.500
Pt: 0.041 0.643 0.357
Pt: 0.226 0.427 0.573
Pt: 0.357 0.959 0.041
Pt: 0.427 0.226 0.774
Pt: 0.500 0.500 0.000
Pt: 0.573 0.774 0.226
Pt: 0.643 0.041 0.959
Pt: 0.774 0.573 0.427
Pt: 0.959 0.357 0.643